A plane-wave DFT calculation with PBE was carried out for a relaxed TbPm2Zn2Ga2 crystal.

Space-group type: R-3m, No. 166

Lattice parameters (Å, degrees): 9.810 9.810 9.810 26.29 26.29 26.29
Element x y z (fractional)
Tb (0.000, 0.000, 0.000)
Pm (0.125, 0.125, 0.125)
Pm (0.875, 0.875, 0.875)
Zn (0.394, 0.394, 0.394)
Zn (0.606, 0.606, 0.606)
Ga (0.268, 0.268, 0.268)
Ga (0.732, 0.732, 0.732)

=====

A plane-wave DFT calculation with PBE was carried out for a relaxed Pm3Ga3Tc crystal.

Space-group type: C2/m, No. 12

Lattice parameters (Å, degrees): 5.879 5.879 14.820 109.55 109.55 43.89
Element x y z (fractional)
Pm (0.033, 0.033, 0.383)
Pm (0.106, 0.106, 0.927)
Pm (0.252, 0.252, 0.231)
Pm (0.748, 0.748, 0.769)
Pm (0.894, 0.894, 0.073)
Pm (0.967, 0.967, 0.617)
Ga (0.360, 0.360, 0.454)
Ga (0.391, 0.391, 0.923)
Ga (0.450, 0.450, 0.765)
Ga (0.550, 0.550, 0.235)
Ga (0.609, 0.609, 0.077)
Ga (0.640, 0.640, 0.546)
Tc (0.266, 0.266, 0.594)
Tc (0.734, 0.734, 0.406)

=====

A plane-wave DFT calculation with PBE was carried out for a relaxed Pm2Ga5Tc crystal.

Space-group type: I4mm, No. 107

Lattice parameters (Å, degrees): 6.234 6.234 6.234 120.45 120.45 89.22
Element x y z (fractional)
Pm (0.000, 0.500, 0.500)
Pm (0.500, 0.000, 0.500)
Ga (0.021, 0.021, 0.000)
Ga (0.032, 0.032, 0.573)
Ga (0.032, 0.459, 0.000)
Ga (0.459, 0.032, 0.000)
Ga (0.459, 0.459, 0.427)
Tc (0.744, 0.744, 0.000)

=====

A plane-wave DFT calculation with PBE was carried out for a relaxed PmGa3Tc crystal.

Relative energy among the computed polymorphs, meV/atom: 8.3
Space-group type: P-1, No. 2

Lattice parameters (Å, degrees): 5.452 5.807 6.735 115.49 100.29 90.02
Element x y z (fractional)
Pm (0.206, 0.403, 0.307)
Pm (0.794, 0.597, 0.693)
Ga (0.177, 0.815, 0.131)
Ga (0.319, 0.400, 0.796)
Ga (0.319, 0.895, 0.796)
Ga (0.681, 0.105, 0.204)
Ga (0.681, 0.600, 0.204)
Ga (0.823, 0.185, 0.869)
Tc (0.000, 0.000, 0.500)
Tc (0.500, 0.000, 0.500)

=====

no.,total DFT energy (no corrections) (Ry per atom),volume (Å³ per cell),ΔE_f (eV per atom)
1,-0.2687,163.27,-0.41
2,-0.3870,331.16,-0.45
3,-0.3510,170.13,-0.40
4,-0.3852,188.68,-0.40